No. 1
{
  "formula": "LaAlPt",
  "functional": "PBE",
  "state": "relaxed",
  "cell": [[-0.6235, -1.5288, 4.0593], [-5.8665, -3.5768, -2.2482], [7.3827, -9.6864, -2.5140]],
  "species": ["La", "La", "La", "La", "La", "La", "Al", "Al", "Al", "Al", "Al", "Al", "Pt", "Pt", "Pt", "Pt", "Pt", "Pt"],
  "fractional_positions": [[0.7500, 0.5236, 0.3726], [0.2500, 0.9765, 0.7070], [0.7500, 0.0235, 0.2930], [0.7500, 0.6501, 0.0802], [0.2500, 0.4764, 0.6274], [0.2500, 0.3499, 0.9198], [0.2500, 0.9944, 0.0814], [0.2500, 0.8564, 0.4583], [0.7500, 0.6509, 0.8028], [0.7500, 0.1436, 0.5417], [0.2500, 0.3491, 0.1972], [0.7500, 0.0056, 0.9186], [0.2500, 0.7862, 0.9054], [0.7500, 0.2716, 0.7577], [0.7500, 0.7794, 0.5686], [0.7500, 0.2138, 0.0946], [0.2500, 0.2206, 0.4314], [0.2500, 0.7284, 0.2423]],
  "ef_kcal_per_mol_atoms": -24.453,
  "magnetic_moment_mub_per_fu": 0.00
}

No. 2
{
  "formula": "La2Al6Pt",
  "functional": "PBE",
  "state": "relaxed",
  "cell": [[-3.4292, -3.7194, 2.6779], [4.6972, -3.8860, 0.6183], [3.5750, 0.2808, 4.9688]],
  "species": ["La", "La", "Al", "Al", "Al", "Al", "Al", "Al", "Pt"],
  "fractional_positions": [[0.8218, 0.6667, 0.6667], [0.1782, 0.3333, 0.3333], [0.3169, 0.3420, 0.8290], [0.3169, 0.8290, 0.8290], [0.3169, 0.8290, 0.3420], [0.6831, 0.6580, 0.1710], [0.6831, 0.1710, 0.1710], [0.6831, 0.1710, 0.6580], [0.0000, 0.0000, 0.0000]],
  "ef_kcal_per_mol_atoms": -13.903,
  "magnetic_moment_mub_per_fu": 0.00
}

No. 3
{
  "formula": "La2Al3Pt5",
  "functional": "PBE",
  "state": "relaxed",
  "cell": [[1.1216, -1.3942, 5.9762], [-4.6971, -6.8001, 2.5511], [5.1992, -6.8793, 0.6753]],
  "species": ["La", "La", "La", "La", "Al", "Al", "Al", "Al", "Al", "Al", "Pt", "Pt", "Pt", "Pt", "Pt", "Pt", "Pt", "Pt", "Pt", "Pt"],
  "fractional_positions": [[0.1316, 0.6183, 0.1185], [0.6316, 0.1185, 0.6183], [0.8684, 0.3817, 0.8815], [0.3684, 0.8815, 0.3817], [0.3801, 0.4970, 0.7428], [0.8801, 0.7428, 0.4970], [0.6199, 0.5030, 0.2572], [0.1199, 0.2572, 0.5030], [0.2500, 0.0000, 0.0000], [0.7500, 0.0000, 0.0000], [0.3865, 0.2484, 0.9787], [0.8865, 0.9787, 0.2484], [0.6135, 0.7516, 0.0213], [0.1135, 0.0213, 0.7516], [0.5118, 0.7382, 0.7382], [0.4882, 0.2618, 0.2618], [0.7500, 0.5000, 0.5000], [0.2500, 0.5000, 0.5000], [0.9882, 0.2618, 0.2618], [0.0118, 0.7382, 0.7382]],
  "ef_kcal_per_mol_atoms": -24.940,
  "magnetic_moment_mub_per_fu": 0.00
}

No. 4
{
  "formula": "La2AlPt7",
  "functional": "PBE",
  "state": "relaxed",
  "cell": [[4.0249, 0.0000, 0.0000], [0.0000, 4.0249, 0.0000], [0.0000, 0.0000, 12.4025]],
  "species": ["La", "La", "Al", "Pt", "Pt", "Pt", "Pt", "Pt", "Pt", "Pt"],
  "fractional_positions": [[0.5000, 0.0000, 0.7319], [0.0000, 0.5000, 0.2681], [0.5000, 0.5000, 0.0000], [0.0000, 0.5000, 0.8610], [0.5000, 0.0000, 0.3477], [0.5000, 0.0000, 0.1390], [0.0000, 0.5000, 0.6523], [0.0000, 0.0000, 0.5000], [0.0000, 0.0000, 0.0000], [0.5000, 0.5000, 0.5000]],
  "ef_kcal_per_mol_atoms": -18.489,
  "magnetic_moment_mub_per_fu": 0.00
}

No. 5
{
  "formula": "La8AlPt2",
  "functional": "PBE",
  "state": "relaxed",
  "cell": [[-2.2989, 4.3071, 2.5179], [-7.0958, -3.9852, -2.0490], [3.8938, -3.2314, 6.6953]],
  "species": ["La", "La", "La", "La", "La", "La", "La", "La", "Al", "Pt", "Pt"],
  "fractional_positions": [[0.5689, 0.2926, 0.0717], [0.5689, 0.0717, 0.2926], [0.1841, 0.3854, 0.3854], [0.0006, 0.2706, 0.7740], [0.0006, 0.7740, 0.2706], [0.8010, 0.6205, 0.6205], [0.4505, 0.9435, 0.6916], [0.4505, 0.6916, 0.9435], [0.0024, 0.0029, 0.0029], [0.4861, 0.6728, 0.3084], [0.4861, 0.3084, 0.6728]],
  "ef_kcal_per_mol_atoms": -9.957,
  "magnetic_moment_mub_per_fu": 0.00
}

No. 6
{
  "formula": "La3AlPt",
  "functional": "PBE",
  "state": "relaxed",
  "cell": [[-3.8254, -3.1160, -2.7347], [3.0077, -4.6469, 1.0874], [-2.8534, -0.7206, 4.8126]],
  "species": ["Al", "Pt", "La", "La", "La"],
  "fractional_positions": [[0.5000, 0.5000, 0.5000], [0.0000, 0.0000, 0.0000], [0.0000, 0.5000, 0.0000], [0.0000, 0.0000, 0.5000], [0.5000, 0.0000, 0.0000]],
  "relative_energy_mev_per_atom": 0,
  "ef_kcal_per_mol_atoms": -7.045,
  "magnetic_moment_mub_per_fu": 0.00
}

No. 7
{
  "formula": "La2AlPt",
  "functional": "PBE",
  "state": "relaxed",
  "cell": [[3.4065, 0.0000, 0.0000], [0.0000, 3.4067, 0.0000], [0.0000, 0.0000, 8.8736]],
  "species": ["Al", "Pt", "La", "La"],
  "fractional_positions": [[0.5000, 0.5000, 0.6838], [0.0000, 0.0000, 0.5532], [0.0000, 0.0000, 0.9397], [0.5000, 0.5000, 0.3233]],
  "ef_kcal_per_mol_atoms": -12.692,
  "magnetic_moment_mub_per_fu": 0.00
}

No. 8
{
  "formula": "LaAlPt",
  "functional": "PBE",
  "state": "relaxed",
  "cell": [[-1.5810, 3.0373, 3.0267], [-2.8580, -5.4304, 3.9566], [6.7112, -0.5649, 4.0725]],
  "species": ["Al", "Al", "Al", "Al", "Pt", "Pt", "Pt", "Pt", "La", "La", "La", "La"],
  "fractional_positions": [[0.7500, 0.3572, 0.5667], [0.2500, 0.1428, 0.0667], [0.7500, 0.8572, 0.9333], [0.2500, 0.6428, 0.4333], [0.7500, 0.2133, 0.8852], [0.7500, 0.7133, 0.6148], [0.2500, 0.7867, 0.1148], [0.2500, 0.2867, 0.3852], [0.2500, 0.0358, 0.6781], [0.2500, 0.5358, 0.8219], [0.7500, 0.9642, 0.3219], [0.7500, 0.4642, 0.1781]],
  "ef_kcal_per_mol_atoms": -24.619,
  "magnetic_moment_mub_per_fu": 0.00
}